Entry 1:
DFT (meta-GGA SCAN) results for a PBEsol-optimized structure of TlCrIn.

Cell: 4.590 4.590 4.590 Å, 60.00 60.00 60.00°
Sites, in units of the cell vectors:
Tl: 0.000 0.000 0.000
Cr: 0.250 0.250 0.250
In: 0.500 0.500 0.500

Values from the calculation:
For the total energy, the calculation gives -41.129 eV/atom. For the density, the calculation gives 9.01 g cm⁻³.

Entry 2:
DFT (meta-GGA SCAN) results for a PBEsol-optimized structure of TlCr2In.

Cell: 4.732 4.732 5.545 Å, 101.19 101.19 39.38°
Sites, in units of the cell vectors:
Tl: 0.000 0.000 0.000
Cr: 0.249 0.249 0.746
Cr: 0.751 0.751 0.254
In: 0.500 0.500 0.500

Values from the calculation:
For the total energy, the calculation gives -35.274 eV/atom. For the density, the calculation gives 9.12 g cm⁻³.

Entry 3:
DFT (meta-GGA SCAN) results for a PBEsol-optimized structure of TlCr2In.

Cell: 5.442 5.442 5.442 Å, 136.29 136.29 63.53°
Sites, in units of the cell vectors:
Tl: 0.000 0.000 0.000
Cr: 0.250 0.750 0.500
Cr: 0.500 0.500 0.000
In: 0.750 0.250 0.500

Values from the calculation:
For the total energy, the calculation gives -35.302 eV/atom. For the density, the calculation gives 9.25 g cm⁻³.

Entry 4:
DFT (meta-GGA SCAN) results for a PBEsol-optimized structure of Cr2InW.

Cell: 8.416 8.416 8.416 Å, 20.09 20.09 20.09°
Sites, in units of the cell vectors:
Cr: 0.241 0.241 0.241
Cr: 0.759 0.759 0.759
In: 0.000 0.000 0.000
W: 0.500 0.500 0.500

Values from the calculation:
For the total energy, the calculation gives -34.468 eV/atom. For the density, the calculation gives 10.87 g cm⁻³.

Entry 5:
DFT (meta-GGA SCAN) results for a PBEsol-optimized structure of CrIn2W.

Cell: 5.298 5.298 4.746 Å, 110.65 110.65 34.29°
Sites, in units of the cell vectors:
Cr: 0.000 0.000 0.000
In: 0.241 0.241 0.773
In: 0.460 0.460 0.463
W: 0.688 0.688 0.224

Values from the calculation:
For the total energy, the calculation gives -38.196 eV/atom. For the density, the calculation gives 11.08 g cm⁻³.

Entry 6:
DFT (meta-GGA SCAN) results for a PBEsol-optimized structure of Cr2InW.

Cell: 2.863 2.863 7.103 Å, 90.00 90.00 90.00°
Sites, in units of the cell vectors:
Cr: 0.000 0.000 0.000
Cr: 0.500 0.500 0.168
In: 0.000 0.000 0.449
W: 0.500 0.500 0.764

Values from the calculation:
For the total energy, the calculation gives -34.588 eV/atom. For the density, the calculation gives 11.48 g cm⁻³.

Entry 7:
DFT (meta-GGA SCAN) results for a PBEsol-optimized structure of CrInW.

Cell: 4.231 4.231 4.231 Å, 60.00 60.00 60.00°
Sites, in units of the cell vectors:
Cr: 0.000 0.000 0.000
In: 0.250 0.250 0.250
W: 0.750 0.750 0.750

Values from the calculation:
For the total energy, the calculation gives -39.599 eV/atom. For the density, the calculation gives 10.87 g cm⁻³.

Entry 8:
DFT (meta-GGA SCAN) results for a PBEsol-optimized structure of Y2CrIn.

Cell: 5.027 5.027 3.806 Å, 90.00 90.00 90.00°
Sites, in units of the cell vectors:
Y: 0.000 0.500 0.000
Y: 0.500 0.000 0.000
Cr: 0.000 0.000 0.500
In: 0.500 0.500 0.500

Values from the calculation:
For the total energy, the calculation gives -27.180 eV/atom. For the density, the calculation gives 5.95 g cm⁻³.